Below is a relaxed Tb4HoEr6 crystal, with properties calculated at the PBE level.

a b c (Å): 7.542 7.542 8.405
angles (deg): 116.66 116.66 90.00
Positions (direct):
Er (0.557, 0.557, 0.632)
Er (0.925, 0.443, 0.368)
Ho (0.500, 0.500, 0.000)
Tb (0.753, 0.093, 0.847)
Er (0.500, 0.000, 0.000)
Tb (0.907, 0.907, 0.153)
Tb (0.247, 0.247, 0.153)
Er (0.443, 0.925, 0.368)
Er (0.075, 0.075, 0.632)
Er (0.000, 0.500, 0.000)
Tb (0.093, 0.753, 0.847)

Results
Total moment (μB/f.u.): 0.00
Theoretical density (Mg/m³): 8.1
Energy relative to the elements (kJ/mol of formula units): 488

=====

Below is a relaxed LiAl2Ag crystal, with properties calculated at the PBE level.

a b c (Å): 4.869 4.869 4.869
angles (deg): 130.75 130.75 72.21
Positions (direct):
Al (0.250, 0.750, 0.500)
Al (0.000, 0.000, 0.000)
Li (0.500, 0.500, 0.000)
Ag (0.750, 0.250, 0.500)

Results
Total moment (μB/f.u.): 0.00
Theoretical density (Mg/m³): 4.3
Excess energy over the best structure of this formula in the dataset (meV per atom): 8
Energy relative to the elements (kJ/mol of formula units): -50

=====

Below is a relaxed LaTbZr crystal, with properties calculated at the PBE level.

a b c (Å): 3.469 3.469 8.551
angles (deg): 90.00 90.00 120.00
Positions (direct):
Tb (0.333, 0.667, 0.645)
Zr (0.667, 0.333, 0.338)
La (0.000, 0.000, 0.017)

Results
Total moment (μB/f.u.): 0.00
Theoretical density (Mg/m³): 7.3
Excess energy over the best structure of this formula in the dataset (meV per atom): 54
Energy relative to the elements (kJ/mol of formula units): 36

=====

no.,energy (eV per atom),N(E_F) (states/eV/atom)
1,-4.129,1.241
2,-3.193,0.392
3,-5.911,1.307